# 1
# Sm4In2I5 | Alexandria | PBE | optimized geometry
# Density = 5360 kg/m3
# E_form (uncorrected) = -0.886 eV/atom
# Calculated volume = 908.06 Å³/cell
data_Sm4In2I5
_chemical_formula_sum 'Sm8 In4 I10'
_symmetry_space_group_name_H-M 'C 1 2/m 1'
_symmetry_Int_Tables_number 12
_cell_length_a 24.995
_cell_length_b 4.073
_cell_length_c 8.959
_cell_angle_alpha 90.00
_cell_angle_beta 95.36
_cell_angle_gamma 90.00
loop_
_symmetry_equiv_pos_as_xyz
'x,y,z'
'-x,-y,-z'
'-x,y,-z'
'x,-y,z'
'x+1/2,y+1/2,z'
'-x+1/2,-y+1/2,-z'
'-x+1/2,y+1/2,-z'
'x+1/2,-y+1/2,z'
loop_
_atom_site_label
_atom_site_type_symbol
_atom_site_fract_x
_atom_site_fract_y
_atom_site_fract_z
Sm1 Sm 0.027 0.000 0.281
Sm2 Sm 0.169 0.500 0.433
In1 In 0.057 0.500 0.557
I1 I 0.000 0.500 0.000
I2 I 0.144 0.000 0.167
I3 I 0.213 0.000 0.685

# 2
# TiNb3V | Alexandria | PBE | optimized geometry
# Density = 6229 kg/m3
# Calculated volume = 100.65 Å³/cell
# Excess energy over the best structure of this formula in the dataset = 85.3 kJ per mole of atoms
data_TiNb3V
_chemical_formula_sum 'Ti1 Nb3 V1'
_symmetry_space_group_name_H-M 'P m -3 m'
_symmetry_Int_Tables_number 221
_symmetry_space_group_name_Hall '-P 4 2 3'
_cell_length_a 4.652
_cell_length_b 4.652
_cell_length_c 4.652
_cell_angle_alpha 90.00
_cell_angle_beta 90.00
_cell_angle_gamma 90.00
loop_
_atom_site_label
_atom_site_type_symbol
_atom_site_fract_x
_atom_site_fract_y
_atom_site_fract_z
Ti1 Ti 0.000 0.000 0.000
Nb1 Nb 0.000 0.500 0.500
V1 V 0.500 0.500 0.500

# 3
# MnSb2Cl | Alexandria | PBE | optimized geometry
# Density = 6067 kg/m3
# E_form (uncorrected) = -0.014 eV/atom
# Calculated volume = 274.18 Å³/cell
# Excess energy over the best structure of this formula in the dataset = 18.0 kJ per mole of atoms
data_MnSb2Cl
_chemical_formula_sum 'Mn3 Sb6 Cl3'
_symmetry_space_group_name_H-M 'R -3 m'
_symmetry_Int_Tables_number 166
_symmetry_space_group_name_Hall '-R 3 2"'
_cell_length_a 3.6351
_cell_length_b 3.6351
_cell_length_c 23.9585
_cell_angle_alpha 90.00
_cell_angle_beta 90.00
_cell_angle_gamma 120.00
loop_
_atom_site_label
_atom_site_type_symbol
_atom_site_fract_x
_atom_site_fract_y
_atom_site_fract_z
Mn1 Mn 0.0000 0.0000 0.0000
Sb1 Sb 0.0000 0.0000 0.2644
Cl1 Cl 0.0000 0.0000 0.5000

# 4
# AcCeSn2Rh5 | Alexandria | PBE | optimized geometry
# E_tot = -0.2400 Ha/atom
# Density = 10004 kg/m3
# Calculated volume = 185.75 Å³/cell
data_AcCeSn2Rh5
_chemical_formula_sum 'Ac1 Ce1 Sn2 Rh5'
_symmetry_space_group_name_H-M 'P 4/m m m'
_symmetry_Int_Tables_number 123
_symmetry_space_group_name_Hall '-P 4 2'
_cell_length_a 4.439
_cell_length_b 4.439
_cell_length_c 9.425
_cell_angle_alpha 90.00
_cell_angle_beta 90.00
_cell_angle_gamma 90.00
loop_
_atom_site_label
_atom_site_type_symbol
_atom_site_fract_x
_atom_site_fract_y
_atom_site_fract_z
Ac1 Ac 0.000 0.000 0.000
Ce1 Ce 0.000 0.000 0.500
Sn1 Sn 0.500 0.500 0.352
Rh1 Rh 0.000 0.500 0.219
Rh2 Rh 0.500 0.500 0.000

# 5
# SbOs2 | Alexandria | PBE | optimized geometry
# Density = 14837 kg/m3
# E_form (uncorrected) = 1.034 eV/atom
# Calculated volume = 224.83 Å³/cell
data_SbOs2
_chemical_formula_sum 'Sb4 Os8'
_symmetry_space_group_name_H-M 'F m -3 m'
_symmetry_Int_Tables_number 225
_symmetry_space_group_name_Hall '-F 4 2 3'
_cell_length_a 6.081
_cell_length_b 6.081
_cell_length_c 6.081
_cell_angle_alpha 90.00
_cell_angle_beta 90.00
_cell_angle_gamma 90.00
loop_
_atom_site_label
_atom_site_type_symbol
_atom_site_fract_x
_atom_site_fract_y
_atom_site_fract_z
Sb1 Sb 0.000 0.000 0.000
Os1 Os 0.250 0.250 0.250

# 6
# TaTcMo2 | Alexandria | PBE | optimized geometry
# Density = 11963 kg/m3
# Calculated volume = 196.06 Å³/cell
# Excess energy over the best structure of this formula in the dataset = 40.1 kJ per mole of atoms
data_TaTcMo2
_chemical_formula_sum 'Ta3 Tc3 Mo6'
_symmetry_space_group_name_H-M 'R -3 m'
_symmetry_Int_Tables_number 166
_symmetry_space_group_name_Hall '-R 3 2"'
_cell_length_a 2.8311
_cell_length_b 2.8311
_cell_length_c 28.2450
_cell_angle_alpha 90.00
_cell_angle_beta 90.00
_cell_angle_gamma 120.00
loop_
_atom_site_label
_atom_site_type_symbol
_atom_site_fract_x
_atom_site_fract_y
_atom_site_fract_z
Ta1 Ta 0.0000 0.0000 0.0000
Tc1 Tc 0.0000 0.0000 0.5000
Mo1 Mo 0.0000 0.0000 0.2447

> What is the density in the fourth record?

10004 kg/m3